TiFe PBEsol relaxed; density of states at the Fermi level = 0.4 states/eV per cell; energy of formation from the pure elements = -0.449 eV/atom; VASP energy = -9.092 eV per atom
1.0
2.913 0.000 0.000
0.000 2.913 0.000
0.000 0.000 2.913
Fe Ti
1 1
Direct
0.000 0.000 0.000
0.500 0.500 0.500